No. 1
A relaxed structure of In4TeIr. Source: the Alexandria database, functional PBE.

Summary:
density of states at the Fermi level	6.34	states/eV/f.u.
space-group type	No. 216
VASP energy	-3.158	eV per atom
raw formation energy	0.6682	eV per atom
crystal system	cubic

Cell lengths 5.9877, 5.9877, 5.9877 Å; angles 60.00, 60.00, 60.00 degrees
Fractional positions:
1 In 0.1244 0.1244 0.1244
2 In 0.1244 0.1244 0.6267
3 In 0.1244 0.6267 0.1244
4 In 0.6267 0.1244 0.1244
5 Te 0.5000 0.5000 0.5000
6 Ir 0.7500 0.7500 0.7500

***

No. 2
A relaxed structure of AcAlGeBi. Source: the Alexandria database, functional PBE.

Summary:
density of states at the Fermi level	4.67	states/eV/f.u.
space-group type	No. 216
VASP energy	-4.188	eV per atom
DFT formation energy	-0.10	eV/atom
crystal system	cubic

Cell lengths 7.6519, 7.6519, 7.6519 Å; angles 90.00, 90.00, 90.00 degrees
Fractional positions:
1 Ac 0.0000 0.0000 0.0000
2 Ac 0.0000 0.5000 0.5000
3 Ac 0.5000 0.0000 0.5000
4 Ac 0.5000 0.5000 0.0000
5 Al 0.2500 0.2500 0.7500
6 Al 0.2500 0.7500 0.2500
7 Al 0.7500 0.2500 0.2500
8 Al 0.7500 0.7500 0.7500
9 Ge 0.2500 0.2500 0.2500
10 Ge 0.2500 0.7500 0.7500
11 Ge 0.7500 0.2500 0.7500
12 Ge 0.7500 0.7500 0.2500
13 Bi 0.0000 0.0000 0.5000
14 Bi 0.0000 0.5000 0.0000
15 Bi 0.5000 0.0000 0.0000
16 Bi 0.5000 0.5000 0.5000

***

No. 3
A relaxed structure of RbGa4Pt6. Source: the Alexandria database, functional PBE.

Summary:
density of states at the Fermi level	2.33	states/eV/f.u.
space-group type	No. 187
VASP energy	-5.002	eV per atom
DFT formation energy	-0.52	eV/atom
crystal system	hexagonal

Cell lengths 7.4469, 7.4469, 3.9952 Å; angles 90.00, 90.00, 120.00 degrees
Fractional positions:
1 Rb 0.0000 0.0000 0.0000
2 Ga 0.3333 0.6667 0.0000
3 Ga 0.3990 0.1995 0.5000
4 Ga 0.8005 0.1995 0.5000
5 Ga 0.8005 0.6010 0.5000
6 Pt 0.2029 0.4058 0.5000
7 Pt 0.2029 0.7971 0.5000
8 Pt 0.5331 0.0663 0.0000
9 Pt 0.5331 0.4669 0.0000
10 Pt 0.5942 0.7971 0.5000
11 Pt 0.9337 0.4669 0.0000